[1]
CaY2Zn after structural relaxation, computed with PBEsol.

a b c (Å): 10.572 10.572 10.572
angles (deg): 19.79 19.79 19.79
Atoms (fractional coordinates):
Ca 0.000 0.000 0.000
Y 0.233 0.233 0.233
Y 0.767 0.767 0.767
Zn 0.500 0.500 0.500

Computed properties:
As for the magnetization: 0.00 μB per atom. Its energy of formation is -5 meV/atom. Its total DFT energy (no corrections) is -4.345 eV/atom. As for the symmetry: R-3m (166). The density of states at the Fermi level comes out at 4.95 states/eV/cell. Its crystal system is trigonal.

[2]
Ca2YZn after structural relaxation, computed with PBEsol.

a b c (Å): 4.268 5.013 5.252
angles (deg): 90.00 90.00 90.00
Atoms (fractional coordinates):
Ca 0.000 0.000 0.000
Ca 0.500 0.500 0.000
Y 0.000 0.500 0.500
Zn 0.500 0.000 0.500

Computed properties:
As for the magnetization: 0.00 μB per atom. Its energy of formation is 53 meV/atom. Its total DFT energy (no corrections) is -3.115 eV/atom. As for the symmetry: Pmmm (47). The density of states at the Fermi level comes out at 3.81 states/eV/cell. Its crystal system is orthorhombic.

[3]
CaYZn2 after structural relaxation, computed with PBEsol.

a b c (Å): 5.016 5.016 5.016
angles (deg): 60.00 60.00 60.00
Atoms (fractional coordinates):
Ca 0.000 0.000 0.000
Y 0.500 0.500 0.500
Zn 0.250 0.250 0.250
Zn 0.750 0.750 0.750

Computed properties:
As for the magnetization: 0.00 μB per atom. Its energy of formation is -286 meV/atom. Its total DFT energy (no corrections) is -3.316 eV/atom. As for the symmetry: Fm-3m (225). The density of states at the Fermi level comes out at 2.72 states/eV/cell. Its crystal system is cubic.

[4]
CaYZn3 after structural relaxation, computed with PBEsol.

a b c (Å): 5.280 5.280 5.280
angles (deg): 90.00 90.00 90.00
Atoms (fractional coordinates):
Ca 0.000 0.000 0.000
Y 0.500 0.500 0.500
Zn 0.000 0.500 0.500
Zn 0.500 0.000 0.500
Zn 0.500 0.500 0.000

Computed properties:
As for the magnetization: 0.00 μB per atom. Its energy of formation is 529 meV/atom. Its total DFT energy (no corrections) is -2.211 eV/atom. As for the symmetry: Pm-3m (221). The density of states at the Fermi level comes out at 4.90 states/eV/cell. Its crystal system is cubic.

[5]
CaYZn2 after structural relaxation, computed with PBEsol.

a b c (Å): 5.045 5.045 3.517
angles (deg): 90.00 90.00 90.00
Atoms (fractional coordinates):
Ca 0.000 0.000 0.000
Y 0.500 0.500 0.000
Zn 0.000 0.500 0.500
Zn 0.500 0.000 0.500

Computed properties:
As for the magnetization: 0.00 μB per atom. Its energy of formation is -299 meV/atom. Its total DFT energy (no corrections) is -3.328 eV/atom. As for the symmetry: P4/mmm (123). The density of states at the Fermi level comes out at 2.36 states/eV/cell. Its crystal system is tetragonal.

[6]
CaY2Zn after structural relaxation, computed with PBEsol.

a b c (Å): 3.521 3.521 8.972
angles (deg): 90.00 90.00 90.00
Atoms (fractional coordinates):
Ca 0.000 0.000 0.000
Y 0.000 0.000 0.402
Y 0.500 0.500 0.677
Zn 0.500 0.500 0.215

Computed properties:
As for the magnetization: 0.00 μB per atom. Its energy of formation is -106 meV/atom. Its total DFT energy (no corrections) is -4.446 eV/atom. As for the symmetry: P4mm (99). The density of states at the Fermi level comes out at 5.33 states/eV/cell. Its crystal system is tetragonal.

[7]
CaYZn after structural relaxation, computed with PBEsol.

a b c (Å): 4.918 4.918 4.918
angles (deg): 60.00 60.00 60.00
Atoms (fractional coordinates):
Ca 0.000 0.000 0.000
Y 0.750 0.750 0.750
Zn 0.500 0.500 0.500

Computed properties:
As for the magnetization: 0.00 μB per atom. Its energy of formation is 579 meV/atom. Its total DFT energy (no corrections) is -2.933 eV/atom. As for the symmetry: F-43m (216). The density of states at the Fermi level comes out at 4.07 states/eV/cell. Its crystal system is cubic.

[8]
CaY2Zn after structural relaxation, computed with PBEsol.

a b c (Å): 5.858 5.858 5.858
angles (deg): 132.82 132.82 68.93
Atoms (fractional coordinates):
Ca 0.000 0.000 0.000
Y 0.500 0.500 0.000
Y 0.750 0.250 0.500
Zn 0.250 0.750 0.500

Computed properties:
As for the magnetization: 0.00 μB per atom. Its energy of formation is 89 meV/atom. Its total DFT energy (no corrections) is -4.251 eV/atom. As for the symmetry: I-4m2 (119). The density of states at the Fermi level comes out at 4.24 states/eV/cell. Its crystal system is tetragonal.

[9]
CaY2Zn after structural relaxation, computed with PBEsol.

a b c (Å): 6.629 6.629 6.629
angles (deg): 148.75 132.17 58.25
Atoms (fractional coordinates):
Ca 0.000 0.000 0.000
Y 0.294 0.794 0.500
Y 0.706 0.206 0.500
Zn 0.500 0.500 0.000

Computed properties:
As for the magnetization: 0.00 μB per atom. Its energy of formation is -93 meV/atom. Its total DFT energy (no corrections) is -4.433 eV/atom. As for the symmetry: Immm (71). The density of states at the Fermi level comes out at 5.14 states/eV/cell. Its crystal system is orthorhombic.

[10]
CaY2Zn after structural relaxation, computed with PBEsol.

a b c (Å): 3.574 3.574 8.938
angles (deg): 90.00 90.00 90.00
Atoms (fractional coordinates):
Ca 0.000 0.000 0.000
Y 0.500 0.500 0.314
Y 0.500 0.500 0.686
Zn 0.000 0.000 0.500

Computed properties:
As for the magnetization: 0.00 μB per atom. Its energy of formation is -120 meV/atom. Its total DFT energy (no corrections) is -4.460 eV/atom. As for the symmetry: P4/mmm (123). The density of states at the Fermi level comes out at 5.51 states/eV/cell. Its crystal system is tetragonal.

[11]
Ca2YZr after structural relaxation, computed with PBEsol.

a b c (Å): 6.807 6.807 3.335
angles (deg): 101.26 101.26 120.98
Atoms (fractional coordinates):
Ca 0.000 0.500 0.000
Ca 0.500 0.000 0.000
Y 0.000 0.000 0.500
Zr 0.500 0.500 0.500

Computed properties:
As for the magnetization: 0.34 μB per atom. Its energy of formation is 345 meV/atom. Its total DFT energy (no corrections) is -4.700 eV/atom. As for the symmetry: C2/m (12). The density of states at the Fermi level comes out at 5.72 states/eV/cell. Its crystal system is monoclinic.

[12]
CaY2Zr after structural relaxation, computed with PBEsol.

a b c (Å): 5.836 5.836 6.228
angles (deg): 98.98 98.98 33.75
Atoms (fractional coordinates):
Ca 0.000 0.000 0.000
Y 0.241 0.241 0.727
Y 0.759 0.759 0.273
Zr 0.500 0.500 0.500

Computed properties:
As for the magnetization: 0.00 μB per atom. Its energy of formation is 203 meV/atom. Its total DFT energy (no corrections) is -6.014 eV/atom. As for the symmetry: C2/m (12). The density of states at the Fermi level comes out at 5.37 states/eV/cell. Its crystal system is monoclinic.

[13]
Ca2YZr after structural relaxation, computed with PBEsol.

a b c (Å): 6.897 6.897 6.897
angles (deg): 149.82 131.54 58.16
Atoms (fractional coordinates):
Ca 0.235 0.235 0.000
Ca 0.765 0.765 0.000
Y 0.500 0.000 0.500
Zr 0.000 0.500 0.500

Computed properties:
As for the magnetization: 0.25 μB per atom. Its energy of formation is 337 meV/atom. Its total DFT energy (no corrections) is -4.707 eV/atom. As for the symmetry: Immm (71). The density of states at the Fermi level comes out at 6.19 states/eV/cell. Its crystal system is orthorhombic.

[14]
CaY2Zr after structural relaxation, computed with PBEsol.

a b c (Å): 3.460 4.559 7.478
angles (deg): 90.00 90.00 90.00
Atoms (fractional coordinates):
Ca 0.000 0.000 0.000
Y 0.500 0.500 0.284
Y 0.500 0.500 0.716
Zr 0.000 0.000 0.500

Computed properties:
As for the magnetization: 0.00 μB per atom. Its energy of formation is 151 meV/atom. Its total DFT energy (no corrections) is -6.066 eV/atom. As for the symmetry: Pmmm (47). The density of states at the Fermi level comes out at 5.72 states/eV/cell. Its crystal system is orthorhombic.

[15]
Ca2YZr after structural relaxation, computed with PBEsol.

a b c (Å): 4.770 4.770 5.298
angles (deg): 90.00 90.00 90.00
Atoms (fractional coordinates):
Ca 0.000 0.500 0.000
Ca 0.500 0.000 0.000
Y 0.000 0.000 0.500
Zr 0.500 0.500 0.500

Computed properties:
As for the magnetization: 0.00 μB per atom. Its energy of formation is 375 meV/atom. Its total DFT energy (no corrections) is -4.670 eV/atom. As for the symmetry: P4/mmm (123). The density of states at the Fermi level comes out at 6.98 states/eV/cell. Its crystal system is tetragonal.

[16]
Ca2YZr after structural relaxation, computed with PBEsol.

a b c (Å): 5.557 5.557 5.557
angles (deg): 60.00 60.00 60.00
Atoms (fractional coordinates):
Ca 0.250 0.250 0.250
Ca 0.750 0.750 0.750
Y 0.000 0.000 0.000
Zr 0.500 0.500 0.500

Computed properties:
As for the magnetization: 0.00 μB per atom. Its energy of formation is 432 meV/atom. Its total DFT energy (no corrections) is -4.612 eV/atom. As for the symmetry: Fm-3m (225). The density of states at the Fermi level comes out at 6.73 states/eV/cell. Its crystal system is cubic.

[17]
CaY2Zr after structural relaxation, computed with PBEsol.

a b c (Å): 11.709 11.709 11.709
angles (deg): 16.92 16.92 16.92
Atoms (fractional coordinates):
Ca 0.000 0.000 0.000
Y 0.241 0.241 0.241
Y 0.759 0.759 0.759
Zr 0.500 0.500 0.500

Computed properties:
As for the magnetization: 0.00 μB per atom. Its energy of formation is 133 meV/atom. Its total DFT energy (no corrections) is -6.083 eV/atom. As for the symmetry: R-3m (166). The density of states at the Fermi level comes out at 5.82 states/eV/cell. Its crystal system is trigonal.

[18]
Ca2YZr after structural relaxation, computed with PBEsol.

a b c (Å): 3.340 5.905 6.205
angles (deg): 90.00 96.31 90.00
Atoms (fractional coordinates):
Ca 0.245 0.000 0.258
Ca 0.755 0.000 0.742
Y 0.500 0.500 0.000
Zr 0.000 0.500 0.500

Computed properties:
As for the magnetization: 0.36 μB per atom. Its energy of formation is 340 meV/atom. Its total DFT energy (no corrections) is -4.705 eV/atom. As for the symmetry: P2/m (10). The density of states at the Fermi level comes out at 5.76 states/eV/cell. Its crystal system is monoclinic.

[19]
CaY2Zr after structural relaxation, computed with PBEsol.

a b c (Å): 4.928 4.928 4.719
angles (deg): 90.00 90.00 90.00
Atoms (fractional coordinates):
Ca 0.000 0.000 0.000
Y 0.000 0.500 0.500
Y 0.500 0.000 0.500
Zr 0.500 0.500 0.000

Computed properties:
As for the magnetization: 0.00 μB per atom. Its energy of formation is 260 meV/atom. Its total DFT energy (no corrections) is -5.956 eV/atom. As for the symmetry: P4/mmm (123). The density of states at the Fermi level comes out at 6.56 states/eV/cell. Its crystal system is tetragonal.

[20]
Ca3YZr after structural relaxation, computed with PBEsol.

a b c (Å): 5.557 5.557 5.557
angles (deg): 90.00 90.00 90.00
Atoms (fractional coordinates):
Ca 0.000 0.000 0.500
Ca 0.000 0.500 0.000
Ca 0.500 0.000 0.000
Y 0.000 0.000 0.000
Zr 0.500 0.500 0.500

Computed properties:
As for the magnetization: 0.14 μB per atom. Its energy of formation is 1252 meV/atom. Its total DFT energy (no corrections) is -3.210 eV/atom. As for the symmetry: Pm-3m (221). The density of states at the Fermi level comes out at 4.18 states/eV/cell. Its crystal system is cubic.

| no. | volume (A^3/atom) |
| --- | --- |
| 1 | 29.633 |
| 2 | 28.093 |
| 3 | 22.305 |
| 4 | 29.437 |
| 5 | 22.380 |
| 6 | 27.807 |
| 7 | 28.039 |
| 8 | 26.542 |
| 9 | 27.789 |
| 10 | 28.537 |
| 11 | 30.405 |
| 12 | 29.061 |
| 13 | 30.638 |
| 14 | 29.486 |
| 15 | 30.137 |
| 16 | 30.331 |
| 17 | 29.641 |
| 18 | 30.416 |
| 19 | 28.653 |
| 20 | 34.323 |